{
  "formula": "Ba4SrAs",
  "functional": "PBE-GGA",
  "state": "optimized geometry",
  "cell": [[0.000, 5.307, 5.307], [5.307, 0.000, 5.307], [5.307, 5.307, 0.000]],
  "species": ["Ba", "Ba", "Ba", "Ba", "Sr", "As"],
  "frac_coords": [[0.377, 0.377, 0.377], [0.377, 0.377, 0.869], [0.377, 0.869, 0.377], [0.869, 0.377, 0.377], [0.000, 0.000, 0.000], [0.750, 0.750, 0.750]],
  "total_magnetization_mub_per_atom": 0.170,
  "delta_e_f_ev_per_atom": 0.2768,
  "sg": "F-43m"
}


{
  "formula": "BaCo6As4",
  "functional": "PBE-GGA",
  "state": "optimized geometry",
  "cell": [[-1.919, 1.919, 11.971], [1.919, -1.919, 11.971], [1.919, 1.919, -11.971]],
  "species": ["Ba", "Co", "Co", "Co", "Co", "Co", "Co", "As", "As", "As", "As"],
  "frac_coords": [[0.000, 0.000, 0.000], [0.137, 0.637, 0.500], [0.250, 0.750, 0.500], [0.363, 0.863, 0.500], [0.637, 0.137, 0.500], [0.750, 0.250, 0.500], [0.863, 0.363, 0.500], [0.194, 0.194, 0.000], [0.417, 0.417, 0.000], [0.583, 0.583, 0.000], [0.806, 0.806, 0.000]],
  "total_magnetization_mub_per_atom": 0.000,
  "delta_e_f_ev_per_atom": -0.3565,
  "sg": "I4/mmm"
}